1.
Compound: Hg2SBr4N2O3
Source: the Alexandria database
Functional: PBE
Structure: relaxed Values from VASP.

Quantum ESPRESSO input file:
```
&SYSTEM
  ibrav = 0, nat = 24, ntyp = 5
/
ATOMIC_SPECIES
O 16.00 O.upf
Br 79.90 Br.upf
N 14.01 N.upf
Hg 200.59 Hg.upf
S 32.06 S.upf
ATOMIC_POSITIONS angstrom
O 6.462 4.827 11.989
Br 1.740 3.439 3.555
Br 5.220 7.098 9.628
N 1.740 1.397 1.036
Hg 5.220 4.555 7.788
Br 1.740 4.514 7.427
S 1.740 6.351 0.863
Br 1.740 8.895 7.730
Br 5.220 6.023 5.755
N 5.220 9.140 12.147
Hg 5.220 8.810 7.858
O 1.740 9.277 12.733
Br 1.740 7.809 3.716
O 3.977 4.827 11.989
O 5.220 1.260 0.449
N 5.220 3.742 2.667
Hg 1.740 5.982 5.395
Br 5.220 2.728 9.466
O 0.497 5.710 1.193
Hg 1.740 1.727 5.325
N 1.740 6.795 10.515
S 5.220 4.186 12.319
O 2.983 5.710 1.193
Br 5.220 1.642 5.452
CELL_PARAMETERS angstrom
6.959 0.000 0.000
0.000 8.846 0.580
0.000 1.691 12.602
```

Output
Total magnetic moment in μB/f.u.: 5.99
Space group: P2_1/m, No. 11
E_form (uncorrected) in meV per atom: 303
D(E_F) in states/eV/atom: 0.000
Crystal system: monoclinic

2.
Compound: Cu2OF
Source: the Alexandria database
Functional: PBE
Structure: relaxed Values from VASP.

Quantum ESPRESSO input file:
```
&SYSTEM
  ibrav = 0, nat = 4, ntyp = 3
/
ATOMIC_SPECIES
Cu 63.55 Cu.upf
O 16.00 O.upf
F 19.00 F.upf
ATOMIC_POSITIONS angstrom
Cu 1.621 0.936 5.160
O 0.000 0.000 5.516
Cu 0.000 0.000 1.810
F 1.621 0.936 2.921
CELL_PARAMETERS angstrom
3.242 0.000 0.000
-1.621 2.808 0.000
0.000 0.000 5.602
```

Output
Total magnetic moment in μB/f.u.: 0.31
Space group: P3m1, No. 156
Distance to the lowest polymorph of the same formula in meV per atom: 23
E_form (uncorrected) in meV per atom: -748
D(E_F) in states/eV/atom: 1.179
Crystal system: trigonal

3.
Compound: LiTl6Hg5
Source: the Alexandria database
Functional: PBE
Structure: relaxed Values from VASP.

Quantum ESPRESSO input file:
```
&SYSTEM
  ibrav = 0, nat = 12, ntyp = 3
/
ATOMIC_SPECIES
Hg 200.59 Hg.upf
Tl 204.38 Tl.upf
Li 6.94 Li.upf
ATOMIC_POSITIONS angstrom
Hg 6.574 2.556 -0.724
Hg 5.153 -0.162 -2.734
Tl 7.014 -1.052 -0.203
Hg 1.192 -6.920 0.981
Li 0.000 0.000 0.000
Tl 3.240 1.069 -0.329
Tl 5.762 -2.800 2.625
Tl 2.004 -1.565 -2.369
Tl 0.752 -3.312 0.459
Hg 3.883 -2.182 0.128
Hg 2.613 -4.202 2.990
Tl 4.526 -5.433 0.586
CELL_PARAMETERS angstrom
-0.190 -0.767 -4.859
7.711 4.774 1.375
0.245 -8.372 3.741
```

Output
ΔE_f in meV/atom: -38
Total magnetic moment in μB/f.u.: 0.00
Space group: C2/m, No. 12
D(E_F) in states/eV/atom: 0.324
Crystal system: monoclinic

4.
Compound: Y2AsOsBr
Source: the Alexandria database
Functional: PBE
Structure: relaxed Values from VASP.

Quantum ESPRESSO input file:
```
&SYSTEM
  ibrav = 0, nat = 5, ntyp = 4
/
ATOMIC_SPECIES
As 74.92 As.upf
Br 79.90 Br.upf
Os 190.23 Os.upf
Y 88.91 Y.upf
ATOMIC_POSITIONS angstrom
As 0.000 0.000 0.000
Br -0.022 2.237 3.910
Os -1.630 -0.375 1.485
Y -0.267 2.723 0.396
Y 1.874 -0.111 2.029
CELL_PARAMETERS angstrom
-0.534 5.446 0.791
-3.260 -0.751 2.970
3.749 -0.222 4.058
```

Output
Total magnetic moment in μB/f.u.: 0.00
Space group: P4/mmm, No. 123
E_form (uncorrected) in meV per atom: -90
D(E_F) in states/eV/atom: 0.826
Crystal system: tetragonal

5.
Compound: Sc3CF3
Source: the Alexandria database
Functional: PBE
Structure: relaxed Values from VASP.

Quantum ESPRESSO input file:
```
&SYSTEM
  ibrav = 0, nat = 14, ntyp = 3
/
ATOMIC_SPECIES
Sc 44.96 Sc.upf
C 12.01 C.upf
F 19.00 F.upf
ATOMIC_POSITIONS angstrom
Sc 2.374 3.630 7.915
Sc 5.869 1.456 3.561
Sc 3.081 2.895 2.950
Sc 2.700 0.494 7.397
C 2.610 1.611 1.159
F 6.318 2.831 5.186
F 1.924 2.256 6.289
Sc 5.542 4.593 4.078
F 3.433 4.378 4.566
F 3.722 1.105 4.010
Sc 5.161 2.192 8.525
C 5.632 3.476 10.317
F 4.521 3.981 7.466
F 4.810 0.709 6.910
CELL_PARAMETERS angstrom
5.407 0.000 1.738
2.424 4.833 1.738
0.412 0.254 8.000
```

Output
Total magnetic moment in μB/f.u.: 0.00
Space group: R-3, No. 148
E_form (uncorrected) in meV per atom: -2475
D(E_F) in states/eV/atom: 0.463
Crystal system: trigonal

6.
Compound: Ce2PmMnN4
Source: the Alexandria database
Functional: PBE
Structure: relaxed Values from VASP.

Quantum ESPRESSO input file:
```
&SYSTEM
  ibrav = 0, nat = 16, ntyp = 4
/
ATOMIC_SPECIES
Mn 54.94 Mn.upf
N 14.01 N.upf
Ce 140.12 Ce.upf
Pm 145.00 Pm.upf
ATOMIC_POSITIONS angstrom
Mn 0.000 1.871 2.947
N 1.731 0.743 2.947
N 1.731 2.685 10.292
N 0.000 3.140 1.496
Ce 0.000 4.292 11.179
N 0.000 0.000 5.894
Pm 1.731 4.597 2.947
N 0.000 3.140 4.398
Ce 1.731 1.533 0.609
N 0.000 0.000 0.000
Ce 1.731 1.533 5.285
N 0.000 5.082 8.841
Pm 0.000 1.228 8.841
Mn 1.731 3.954 8.841
N 1.731 2.685 7.390
Ce 0.000 4.292 6.503
CELL_PARAMETERS angstrom
3.463 0.000 0.000
-1.731 5.825 0.000
0.000 0.000 11.788
```

Output
Total magnetic moment in μB/f.u.: 3.33
Space group: Cmcm, No. 63
E_form (uncorrected) in meV per atom: -1133
D(E_F) in states/eV/atom: 0.637
Crystal system: orthorhombic

7.
Compound: Sm2Er5Th5
Source: the Alexandria database
Functional: PBE
Structure: relaxed Values from VASP.

Quantum ESPRESSO input file:
```
&SYSTEM
  ibrav = 0, nat = 12, ntyp = 3
/
ATOMIC_SPECIES
Th 232.04 Th.upf
Er 167.26 Er.upf
Sm 150.36 Sm.upf
ATOMIC_POSITIONS angstrom
Th -5.826 -0.990 -1.659
Th 0.000 0.000 0.000
Th -4.336 0.851 -4.283
Th -9.602 -3.720 -5.774
Er -12.773 -2.455 -6.724
Er -6.969 -1.434 -5.028
Er -4.889 -3.115 -7.446
Er -9.048 0.246 -2.610
Sm -3.780 -2.678 -4.068
Th -8.112 -1.879 -8.397
Sm -10.157 -0.191 -5.989
Er -1.165 -0.413 -3.332
CELL_PARAMETERS angstrom
-1.671 3.095 -3.588
-1.710 -4.333 -6.459
-10.557 -1.631 -0.009
```

Output
ΔE_f in meV/atom: 44
Total magnetic moment in μB/f.u.: 0.00
Space group: C2/m, No. 12
D(E_F) in states/eV/atom: 1.503
Crystal system: monoclinic

8.
Compound: Cr2TcP
Source: the Alexandria database
Functional: PBE
Structure: relaxed Values from VASP.

Quantum ESPRESSO input file:
```
&SYSTEM
  ibrav = 0, nat = 8, ntyp = 3
/
ATOMIC_SPECIES
P 30.97 P.upf
Cr 52.00 Cr.upf
Tc 98.00 Tc.upf
ATOMIC_POSITIONS angstrom
P 1.795 3.590 4.179
Cr 2.692 2.906 6.268
P 1.795 1.795 0.000
Tc 3.590 1.795 4.179
Tc 0.000 0.000 0.000
Cr 2.479 0.897 2.089
Cr 1.111 2.692 2.089
Cr 4.487 4.274 6.268
CELL_PARAMETERS angstrom
3.590 0.000 0.000
0.000 3.590 0.000
1.795 1.795 8.357
```

Output
ΔE_f in meV/atom: 281
Total magnetic moment in μB/f.u.: 0.00
Space group: I-42d, No. 122
D(E_F) in states/eV/atom: 1.071
Crystal system: tetragonal

9.
Compound: Na17Tl11H
Source: the Alexandria database
Functional: PBE
Structure: relaxed Values from VASP.

Quantum ESPRESSO input file:
```
&SYSTEM
  ibrav = 0, nat = 29, ntyp = 3
/
ATOMIC_SPECIES
Tl 204.38 Tl.upf
H 1.01 H.upf
Na 22.99 Na.upf
ATOMIC_POSITIONS angstrom
Tl 8.554 -1.758 -0.463
Tl 2.673 -3.992 7.862
H 0.532 -3.623 3.822
Na 0.247 -7.495 7.414
Na 6.102 -3.033 1.683
Tl -2.474 -5.459 6.273
Na 0.323 1.945 5.363
Tl 3.076 -1.584 1.011
Na 5.269 2.243 8.559
Na 9.171 -4.334 1.781
Tl 2.273 -6.593 0.587
Tl 6.780 2.478 1.499
Na 5.258 -0.116 3.140
Na 5.553 -6.499 1.301
Tl 3.914 -6.084 5.706
Tl 4.961 4.298 5.778
Na 3.685 1.042 5.883
Na 0.043 -0.060 0.082
Na -1.693 -2.867 4.426
Na 2.718 -4.170 2.883
Na 3.901 -4.086 -0.853
Na 0.759 -5.112 5.398
Tl -1.259 -7.508 4.161
Tl -1.333 -0.515 6.851
Na -0.366 -5.103 2.122
Na 4.648 -2.768 5.361
Na 1.399 0.504 8.518
Tl 1.913 0.377 3.031
Na 1.336 -1.841 5.284
CELL_PARAMETERS angstrom
-4.427 0.605 9.013
1.727 -9.768 -1.677
9.112 5.055 0.340
```

Output
Total magnetic moment in μB/f.u.: 0.00
Space group: Cm, No. 8
D(E_F) in states/eV/atom: 0.387
Crystal system: monoclinic

10.
Compound: SiAsOs2
Source: the Alexandria database
Functional: PBE
Structure: relaxed Values from VASP.

Quantum ESPRESSO input file:
```
&SYSTEM
  ibrav = 0, nat = 4, ntyp = 3
/
ATOMIC_SPECIES
As 74.92 As.upf
Os 190.23 Os.upf
Si 28.09 Si.upf
ATOMIC_POSITIONS angstrom
As 2.360 -0.015 1.379
Os 0.000 0.000 0.000
Os 0.763 2.234 1.379
Si 3.123 2.219 0.000
CELL_PARAMETERS angstrom
4.721 -0.029 0.000
1.526 4.467 0.000
-3.123 -2.219 2.758
```

Output
Total magnetic moment in μB/f.u.: 0.00
Space group: I-4m2, No. 119
Distance to the lowest polymorph of the same formula in meV per atom: 470
E_form (uncorrected) in meV per atom: 508
D(E_F) in states/eV/atom: 0.850
Crystal system: tetragonal

11.
Compound: Ta2TiRhO
Source: the Alexandria database
Functional: PBE
Structure: relaxed Values from VASP.

Quantum ESPRESSO input file:
```
&SYSTEM
  ibrav = 0, nat = 5, ntyp = 4
/
ATOMIC_SPECIES
Rh 102.91 Rh.upf
Ti 47.87 Ti.upf
Ta 180.95 Ta.upf
O 16.00 O.upf
ATOMIC_POSITIONS angstrom
Rh 2.478 1.789 2.478
Ti 0.000 0.000 0.000
Ta 0.000 0.000 2.478
Ta 2.478 0.000 0.000
O 0.000 1.789 0.000
CELL_PARAMETERS angstrom
4.956 0.000 0.000
0.000 3.579 0.000
0.000 0.000 4.956
```

Output
Total magnetic moment in μB/f.u.: 0.00
Space group: P4/mmm, No. 123
Distance to the lowest polymorph of the same formula in meV per atom: 1409
E_form (uncorrected) in meV per atom: 518
D(E_F) in states/eV/atom: 1.241
Crystal system: tetragonal

12.
Compound: NaPmCd2O4
Source: the Alexandria database
Functional: PBE
Structure: relaxed Values from VASP.

Quantum ESPRESSO input file:
```
&SYSTEM
  ibrav = 0, nat = 8, ntyp = 4
/
ATOMIC_SPECIES
O 16.00 O.upf
Cd 112.41 Cd.upf
Na 22.99 Na.upf
Pm 145.00 Pm.upf
ATOMIC_POSITIONS angstrom
O -3.571 1.548 0.107
Cd -1.834 2.076 1.675
O -3.511 1.056 -3.339
O -2.231 3.922 -2.058
O -1.379 -0.261 1.963
Cd -3.115 -0.790 0.394
Na -3.124 -0.296 3.785
Pm -3.915 3.394 -3.680
CELL_PARAMETERS angstrom
-0.808 4.677 -0.682
-3.369 -1.055 -3.245
-1.298 -1.880 5.502
```

Output
Total magnetic moment in μB/f.u.: 0.00
Space group: I4/mmm, No. 139
E_form (uncorrected) in meV per atom: -1830
D(E_F) in states/eV/atom: 0.006
Crystal system: tetragonal

Computed total energy (eV per atom) in order:
-3.276; -4.503; -1.506; -6.186; -7.308; -8.519; -5.735; -8.475; -1.864; -7.625; -8.264; -5.296